Entry 1:
VASP calculation (PBE) on crystalline LaMgScZn at its relaxed geometry.

Computed properties:
Its space group is P4mm, No. 99. The value obtained for the formation energy from the elements is -0.19 eV per atom. The value obtained for the total energy is -3.723 eV/atom. Its total magnetic moment is 0.0 Bohr magnetons per cell.

Cell lengths 3.545, 3.545, 7.866 Å; angles 90.00, 90.00, 90.00 degrees
Atoms (fractional coordinates):
Sc 0.500 0.500 0.352
Mg 0.000 0.000 0.108
Zn 0.000 0.000 0.528
La 0.500 0.500 0.798



Entry 2:
VASP calculation (PBE) on crystalline LaMgSc2Zn4 at its relaxed geometry.

Computed properties:
Its space group is R-3m, No. 166. The value obtained for the formation energy from the elements is -0.25 eV per atom. The value obtained for the total energy is -3.288 eV/atom. Its total magnetic moment is 0.0 Bohr magnetons per cell.

Cell lengths 4.731, 4.731, 9.118 Å; angles 74.96, 74.96, 60.00 degrees
Atoms (fractional coordinates):
Zn 0.875 0.875 0.376
Sc 0.763 0.763 0.712
La 0.000 0.000 0.000
Sc 0.237 0.237 0.288
Mg 0.500 0.500 0.500
Zn 0.608 0.608 0.177
Zn 0.392 0.392 0.823
Zn 0.125 0.125 0.624



Entry 3:
VASP calculation (PBE) on crystalline La2MgSe4 at its relaxed geometry.

Computed properties:
The calculation puts the uncorrected formation energy at -1630 meV per atom. Its space group is I4/mmm, No. 139. Its relative energy among the computed polymorphs is 13.5 kJ per mole of atoms. The value obtained for the total energy is -5.257 eV/atom. Its total magnetic moment is 0.0 Bohr magnetons per cell.

Cell lengths 4.945, 4.945, 8.502 Å; angles 73.09, 73.09, 90.00 degrees
Atoms (fractional coordinates):
Mg 0.000 0.000 0.000
La 0.633 0.633 0.734
Se 0.181 0.181 0.638
La 0.367 0.367 0.266
Se 0.819 0.819 0.362
Se 0.500 0.000 0.000
Se 0.000 0.500 0.000



Entry 4:
VASP calculation (PBE) on crystalline La2MgSe4 at its relaxed geometry.

Computed properties:
The calculation puts the uncorrected formation energy at -1770 meV per atom. Its space group is Pnma, No. 62. Its relative energy among the computed polymorphs is 0.0 kJ per mole of atoms. The value obtained for the total energy is -5.396 eV/atom. Its total magnetic moment is 0.0 Bohr magnetons per cell.

Cell lengths 7.000, 8.745, 14.792 Å; angles 90.00, 90.00, 90.00 degrees
Atoms (fractional coordinates):
Se 0.240 0.982 0.329
Se 0.740 0.482 0.171
La 0.511 0.750 0.730
La 0.011 0.250 0.770
Se 0.740 0.018 0.171
Mg 0.413 0.750 0.404
La 0.989 0.750 0.230
Se 0.260 0.982 0.829
Se 0.240 0.750 0.066
La 0.500 0.500 0.000
Se 0.740 0.250 0.434
La 0.500 0.000 0.000
Se 0.778 0.750 0.409
Se 0.222 0.250 0.591
La 0.489 0.250 0.270
La 0.000 0.500 0.500
Se 0.760 0.018 0.671
Se 0.760 0.482 0.671
Se 0.722 0.750 0.909
Mg 0.913 0.250 0.096
Mg 0.087 0.750 0.904
Se 0.260 0.750 0.566
Se 0.260 0.518 0.829
La 0.000 0.000 0.500
Se 0.278 0.250 0.091
Se 0.760 0.250 0.934
Mg 0.587 0.250 0.596
Se 0.240 0.518 0.329



Entry 5:
VASP calculation (PBE) on crystalline LaMgSe2 at its relaxed geometry.

Computed properties:
The calculation puts the uncorrected formation energy at -1404 meV per atom. Its space group is P2/m, No. 10. The value obtained for the total energy is -4.776 eV/atom. Its total magnetic moment is 0.2 Bohr magnetons per cell.

Cell lengths 3.725, 3.909, 7.172 Å; angles 89.65, 90.00, 90.00 degrees
Each line ends with the local moment (μB).
Atoms (fractional coordinates):
Se 0.000 0.753 0.016  0.00
Se 0.000 0.747 0.484  0.00
La 0.500 0.250 0.250  0.06
Mg 0.500 0.750 0.750  0.01



Entry 6:
VASP calculation (PBE) on crystalline La2MgSe at its relaxed geometry.

Computed properties:
The calculation puts the uncorrected formation energy at -622 meV per atom. Its space group is I4/mmm, No. 139. Its relative energy among the computed polymorphs is 26.5 kJ per mole of atoms. The value obtained for the total energy is -4.355 eV/atom. Its total magnetic moment is 0.0 Bohr magnetons per cell.

Cell lengths 5.702, 5.702, 5.702 Å; angles 127.59, 127.59, 77.29 degrees
Atoms (fractional coordinates):
Se 0.750 0.250 0.500
Mg 0.250 0.750 0.500
La 0.000 0.000 0.000
La 0.500 0.500 0.000



Copy entry 2 word for word.
VASP calculation (PBE) on crystalline LaMgSc2Zn4 at its relaxed geometry.

Computed properties:
Its space group is R-3m, No. 166. The value obtained for the formation energy from the elements is -0.25 eV per atom. The value obtained for the total energy is -3.288 eV/atom. Its total magnetic moment is 0.0 Bohr magnetons per cell.

Cell lengths 4.731, 4.731, 9.118 Å; angles 74.96, 74.96, 60.00 degrees
Atoms (fractional coordinates):
Zn 0.875 0.875 0.376
Sc 0.763 0.763 0.712
La 0.000 0.000 0.000
Sc 0.237 0.237 0.288
Mg 0.500 0.500 0.500
Zn 0.608 0.608 0.177
Zn 0.392 0.392 0.823
Zn 0.125 0.125 0.624